Compound: MnMoIr2
Source: Alexandria
Functional: PBE
Structure: optimized geometry

Symmetry: Pmm2 (25)
V in Å³ per cell: 55.8
Calculated formation energy in eV/f.u.: -0.9
Relative energy among the computed polymorphs in meV per atom: 30.2
Calculated total energy in eV/f.u.: -38.61

a = 4.3108 Å, b = 2.7278 Å, c = 4.7481 Å
α = 90.00°, β = 90.00°, γ = 90.00°
Sites, in units of the cell vectors:
Mo  0.5000  0.6250  0.7831
Ir  0.5000  0.1250  0.3052
Ir  0.0000  0.1250  0.9584
Mn  0.0000  0.6250  0.4534